[1]
Entry from Alexandria via LeMat-Bulk: a relaxed Cr2TeW crystal (PBE).

For the magnetization, the calculation gives 0.0 Bohr magnetons per cell. The calculation puts the energy relative to the elements, uncorrected at 2.0 eV/f.u. The value obtained for the calculated density is 11.588 g/cm³.

a b c (Å): 5.151 5.151 5.151
angles (deg): 143.34 132.49 61.47
Atoms (fractional coordinates):
Cr 0.000 0.000 0.000
Cr 0.752 0.252 0.500
Te 0.245 0.745 0.500
W 0.504 0.504 0.000

[2]
Entry from Alexandria via LeMat-Bulk: a relaxed CeDy2HoTm5 crystal (PBE).

For the magnetization, the calculation gives 1.1 Bohr magnetons per cell. The value obtained for the energy of formation from the pure elements is 172.9 meV per atom. The value obtained for the calculated density is 8.665 g/cm³.

a b c (Å): 10.993 10.993 9.460
angles (deg): 90.00 90.00 150.37
Atoms (fractional coordinates):
Ce 0.192 0.808 0.500
Ce 0.808 0.192 0.000
Dy 0.113 0.887 0.802
Dy 0.135 0.865 0.186
Dy 0.865 0.135 0.686
Dy 0.887 0.113 0.302
Ho 0.403 0.597 0.908
Ho 0.597 0.403 0.408
Tm 0.014 0.986 0.493
Tm 0.266 0.734 0.814
Tm 0.307 0.693 0.195
Tm 0.395 0.605 0.523
Tm 0.471 0.529 0.226
Tm 0.529 0.471 0.726
Tm 0.605 0.395 0.023
Tm 0.693 0.307 0.695
Tm 0.734 0.266 0.314
Tm 0.986 0.014 0.993

[3]
Entry from Alexandria via LeMat-Bulk: a relaxed Nd2YTm3Sb6 crystal (PBE).

For the magnetization, the calculation gives 0.0 Bohr magnetons per cell. The calculation puts the energy relative to the elements, uncorrected at -13.4 eV/f.u. The value obtained for the calculated density is 7.369 g/cm³.

a b c (Å): 9.856 9.856 8.816
angles (deg): 102.81 102.81 25.87
Atoms (fractional coordinates):
Nd 0.166 0.166 0.332
Nd 0.834 0.834 0.668
Y 0.500 0.500 0.000
Tm 0.168 0.168 0.834
Tm 0.500 0.500 0.500
Tm 0.832 0.832 0.166
Sb 0.003 0.003 0.749
Sb 0.333 0.333 0.925
Sb 0.336 0.336 0.410
Sb 0.664 0.664 0.590
Sb 0.667 0.667 0.075
Sb 0.997 0.997 0.251